Entry 1:
The following is a PBE-GGA calculation of a relaxed structure of CrGePt6, from the Alexandria database.

Cell: 4.7269 4.7270 6.4124 Å, 104.71 104.71 108.13°
Closest atoms and distances in Å follow each position.
Positions (direct):
Pt 0.2553 0.2553 0.5107  10 Pt 2.77-2.84, 1 Cr 2.83, 1 Ge 2.95
Pt 0.7447 0.7447 0.4893  10 Pt 2.77-2.84, 1 Cr 2.83, 1 Ge 2.95
Pt 0.6196 0.1196 0.2392  2 Cr 2.74, 2 Ge 2.74, 8 Pt 2.77-3.02
Cr 0.5000 0.5000 0.0000  10 Pt 2.74-2.83, 2 Ge 2.77
Pt 0.3804 0.8804 0.7608  2 Cr 2.74, 2 Ge 2.74, 8 Pt 2.77-3.02
Pt 0.8804 0.3805 0.7608  2 Cr 2.74, 2 Ge 2.74, 8 Pt 2.77-3.02
Pt 0.1196 0.6195 0.2392  2 Cr 2.74, 2 Ge 2.74, 8 Pt 2.77-3.02
Ge 0.0000 0.0000 0.0000  10 Pt 2.74-2.95, 2 Cr 2.77

Calculated values
Space-group type   No. 69

***

Entry 2:
The following is a PBE-GGA calculation of a relaxed structure of CrGe2Pt2, from the Alexandria database.

Cell: 7.0224 7.0224 3.1369 Å, 90.00 90.00 90.00°
Closest atoms and distances in Å follow each position.
Positions (direct):
Ge 0.3465 0.8465 0.0000  6 Pt 2.52-2.64, 2 Cr 2.66
Pt 0.3515 0.1485 0.5000  6 Ge 2.52-2.64
Cr 0.0000 0.0000 0.0000  4 Ge 2.66
Ge 0.8465 0.6535 0.0000  6 Pt 2.52-2.64, 2 Cr 2.66
Cr 0.5000 0.5000 0.0000  4 Ge 2.66
Pt 0.1485 0.6485 0.5000  6 Ge 2.52-2.64
Pt 0.6485 0.8515 0.5000  6 Ge 2.52-2.64
Ge 0.1535 0.3465 0.0000  6 Pt 2.52-2.64, 2 Cr 2.66
Ge 0.6535 0.1535 0.0000  6 Pt 2.52-2.64, 2 Cr 2.66
Pt 0.8515 0.3515 0.5000  6 Ge 2.52-2.64

Calculated values
Space-group type   No. 127
Distance to the lowest polymorph of the same formula   125 meV per atom

***

Entry 3:
The following is a PBE-GGA calculation of a relaxed structure of Cr2GePt8, from the Alexandria database.

Cell: 4.0887 7.4333 7.0531 Å, 121.80 106.85 90.00°
Closest atoms and distances in Å follow each position.
Positions (direct):
Cr 0.1934 0.6934 0.3867  10 Pt 2.55-2.80
Pt 0.6613 0.8852 0.3227  3 Cr 2.63-2.66, 1 Ge 2.74, 7 Pt 2.76-2.91
Pt 0.3386 0.5625 0.6773  3 Cr 2.63-2.66, 1 Ge 2.74, 7 Pt 2.76-2.91
Pt 0.1371 0.1371 0.2742  2 Ge 2.56, 2 Cr 2.80, 4 Pt 2.82-2.84
Pt 0.6614 0.4375 0.3227  3 Cr 2.63-2.66, 1 Ge 2.74, 7 Pt 2.76-2.91
Pt 0.8629 0.8629 0.7258  2 Ge 2.56, 2 Cr 2.80, 4 Pt 2.82-2.84
Pt 0.3387 0.1148 0.6773  3 Cr 2.63-2.66, 1 Ge 2.74, 7 Pt 2.76-2.91
Ge 0.5000 0.0000 0.0000  8 Pt 2.56-2.74
Pt 0.0000 0.3209 0.0000  2 Cr 2.55, 7 Pt 2.66-2.84
Pt 0.0000 0.6791 0.0000  2 Cr 2.55, 7 Pt 2.66-2.84
Cr 0.8066 0.3066 0.6133  10 Pt 2.55-2.80

Calculated values
Space-group type   No. 71

***

Entry 4:
The following is a PBE-GGA calculation of a relaxed structure of Cr3GePt, from the Alexandria database.

Cell: 4.6344 4.6344 4.6344 Å, 90.00 90.00 90.00°
Closest atoms and distances in Å follow each position.
Positions (direct):
Ge 0.0000 0.0000 0.0000  6 Cr 2.32
Cr 0.0000 0.5000 0.0000  2 Ge 2.32
Cr 0.0000 0.0000 0.5000  2 Ge 2.32
Cr 0.5000 0.0000 0.0000  2 Ge 2.32
Pt 0.5000 0.5000 0.5000  12 Cr 3.28

Calculated values
Space-group type   No. 221
Distance to the lowest polymorph of the same formula   0 meV per atom

***

Entry 5:
The following is a PBE-GGA calculation of a relaxed structure of Pu2CrGe4Pt3, from the Alexandria database.

Cell: 4.1932 4.1932 10.7136 Å, 90.00 90.00 90.00°
Closest atoms and distances in Å follow each position.
Positions (direct):
Pu 0.5000 0.0000 0.2515  8 Ge 3.21-3.41, 6 Pt 3.23-3.39, 2 Cr 3.39
Ge 0.0000 0.5000 0.3652  3 Pt 2.49-2.55, 2 Cr 2.55
Pu 0.0000 0.5000 0.7485  8 Ge 3.21-3.41, 6 Pt 3.23-3.39, 2 Cr 3.39
Ge 0.5000 0.0000 0.6348  3 Pt 2.49-2.55, 2 Cr 2.55
Pt 0.5000 0.0000 0.8670  5 Ge 2.49-2.54
Pt 0.0000 0.5000 0.1330  5 Ge 2.49-2.54
Pt 0.0000 0.0000 0.5000  4 Ge 2.55
Ge 0.0000 0.0000 0.0000  4 Pt 2.54
Cr 0.5000 0.5000 0.5000  4 Ge 2.55
Ge 0.5000 0.5000 0.0000  4 Pt 2.54

Calculated values
Space-group type   No. 115

***

Entry 6:
The following is a PBE-GGA calculation of a relaxed structure of ScCrGePt2, from the Alexandria database.

Cell: 4.6635 4.4781 4.6635 Å, 90.00 90.00 90.00°
Closest atoms and distances in Å follow each position.
Positions (direct):
Pt 0.5000 0.0000 0.0000  2 Ge 2.33
Ge 0.0000 0.0000 0.0000  2 Cr 2.24, 4 Pt 2.33
Pt 0.0000 0.0000 0.5000  2 Ge 2.33
Sc 0.5000 0.5000 0.5000  8 Pt 3.23, 4 Cr 3.30
Cr 0.0000 0.5000 0.0000  2 Ge 2.24

Calculated values
Space-group type   No. 123

***

Entry 7:
The following is a PBE-GGA calculation of a relaxed structure of Sm2CrGe3Pt4, from the Alexandria database.

Cell: 4.2298 4.2298 10.6451 Å, 90.00 90.00 90.00°
Closest atoms and distances in Å follow each position.
Positions (direct):
Pt 0.0000 0.0000 0.0000  4 Ge 2.55
Pt 0.5000 0.5000 0.0000  4 Ge 2.55
Ge 0.0000 0.0000 0.5000  4 Pt 2.57
Ge 0.5000 0.0000 0.8664  5 Pt 2.44-2.55
Pt 0.0000 0.5000 0.3625  3 Ge 2.44-2.57, 2 Cr 2.57
Ge 0.0000 0.5000 0.1336  5 Pt 2.44-2.55
Cr 0.5000 0.5000 0.5000  4 Pt 2.57
Sm 0.5000 0.0000 0.2471  6 Ge 3.23-3.42, 8 Pt 3.23-3.38, 2 Cr 3.42
Sm 0.0000 0.5000 0.7529  6 Ge 3.23-3.42, 8 Pt 3.23-3.38, 2 Cr 3.42
Pt 0.5000 0.0000 0.6375  3 Ge 2.44-2.57, 2 Cr 2.57

Calculated values
Space-group type   No. 115

***

Entry 8:
The following is a PBE-GGA calculation of a relaxed structure of Sm2CrGe4Pt3, from the Alexandria database.

Cell: 4.1905 4.1905 10.7853 Å, 90.00 90.00 90.00°
Closest atoms and distances in Å follow each position.
Positions (direct):
Pt 0.0000 0.5000 0.1346  5 Ge 2.49-2.55
Sm 0.0000 0.5000 0.7491  8 Ge 3.21-3.42, 6 Pt 3.22-3.41, 2 Cr 3.41
Cr 0.5000 0.5000 0.5000  4 Ge 2.55
Sm 0.5000 0.0000 0.2509  8 Ge 3.21-3.42, 6 Pt 3.22-3.41, 2 Cr 3.41
Pt 0.5000 0.0000 0.8654  5 Ge 2.49-2.55
Ge 0.5000 0.5000 0.0000  4 Pt 2.55
Ge 0.0000 0.5000 0.3651  3 Pt 2.49-2.55, 2 Cr 2.55
Ge 0.0000 0.0000 0.0000  4 Pt 2.55
Pt 0.0000 0.0000 0.5000  4 Ge 2.55
Ge 0.5000 0.0000 0.6349  3 Pt 2.49-2.55, 2 Cr 2.55

Calculated values
Space-group type   No. 115

***

Number 1: total magnetization 2.58 μB/cell, mass density 17.519 g/cm3, energy of formation from the pure elements -0.192 eV/atom. Number 2: total magnetization 0.00 μB/cell, mass density 12.612 g/cm3, energy of formation from the pure elements 0.082 eV/atom. Number 3: total magnetization 4.47 μB/cell, mass density 16.845 g/cm3, energy of formation from the pure elements -0.181 eV/atom. Number 4: total magnetization 11.76 μB/cell, mass density 7.069 g/cm3, energy of formation from the pure elements 1.055 eV/atom. Number 5: total magnetization 12.96 μB/cell, mass density 12.480 g/cm3, energy of formation from the pure elements -0.578 eV/atom. Number 6: total magnetization 2.03 μB/cell, mass density 9.544 g/cm3, energy of formation from the pure elements 0.120 eV/atom. Number 7: total magnetization 3.23 μB/cell, mass density 11.779 g/cm3, energy of formation from the pure elements -0.789 eV/atom. Number 8: total magnetization 2.59 μB/cell, mass density 10.771 g/cm3, energy of formation from the pure elements -0.801 eV/atom.